#a
This record from the Alexandria database describes a geometry-optimized LiCd6In structure. The functional is PBE-GGA.

The structure in CIF format:
```
data_LiCd6In
_space_group_name_H-M_alt 'P 1'
_space_group_IT_number 1
_cell_length_a 5.806
_cell_length_b 5.806
_cell_length_c 8.565
_cell_angle_alpha 70.19
_cell_angle_beta 70.19
_cell_angle_gamma 60.00
loop_
_space_group_symop_operation_xyz
'x,y,z'
loop_
_atom_site_label
_atom_site_type_symbol
_atom_site_fract_x
_atom_site_fract_y
_atom_site_fract_z
Cd1 Cd 0.931 0.931 0.704
Cd2 Cd 0.435 0.931 0.704
Cd3 Cd 0.931 0.435 0.704
Cd4 Cd 0.069 0.069 0.296
Cd5 Cd 0.565 0.069 0.296
Cd6 Cd 0.069 0.565 0.296
In1 In 0.500 0.500 0.500
Li1 Li 0.000 0.000 0.000
```

Output
Space-group type   R-3m (166)

=====

#b
This record from the Alexandria database describes a geometry-optimized LiCd6In structure. The functional is PBE-GGA.

The structure in CIF format:
```
data_LiCd6In
_space_group_name_H-M_alt 'P 1'
_space_group_IT_number 1
_cell_length_a 4.404
_cell_length_b 4.404
_cell_length_c 9.234
_cell_angle_alpha 90.00
_cell_angle_beta 90.00
_cell_angle_gamma 90.00
loop_
_space_group_symop_operation_xyz
'x,y,z'
loop_
_atom_site_label
_atom_site_type_symbol
_atom_site_fract_x
_atom_site_fract_y
_atom_site_fract_z
Cd1 Cd 0.500 0.000 0.734
Cd2 Cd 0.500 0.500 0.000
Cd3 Cd 0.000 0.500 0.266
Cd4 Cd 0.500 0.000 0.266
Cd5 Cd 0.000 0.500 0.734
Cd6 Cd 0.500 0.500 0.500
In1 In 0.000 0.000 0.000
Li1 Li 0.000 0.000 0.500
```

Output
Space-group type   P4/mmm (123)

=====

Least stable of them? #a.

=====

#a
This record from the Alexandria database describes a geometry-optimized Li4Cd5In2 structure. The functional is PBE-GGA.

The structure in CIF format:
```
data_Li4Cd5In2
_space_group_name_H-M_alt 'P 1'
_space_group_IT_number 1
_cell_length_a 4.767
_cell_length_b 12.216
_cell_length_c 4.887
_cell_angle_alpha 68.58
_cell_angle_beta 119.19
_cell_angle_gamma 90.00
loop_
_space_group_symop_operation_xyz
'x,y,z'
loop_
_atom_site_label
_atom_site_type_symbol
_atom_site_fract_x
_atom_site_fract_y
_atom_site_fract_z
Li1 Li 0.327 0.276 0.653
Li2 Li 0.673 0.724 0.347
Li3 Li 0.947 0.823 0.894
Li4 Li 0.053 0.177 0.106
Cd1 Cd 0.780 0.084 0.559
Cd2 Cd 0.220 0.916 0.441
Cd3 Cd 0.121 0.561 0.242
Cd4 Cd 0.879 0.439 0.758
Cd5 Cd 0.500 0.000 0.000
In1 In 0.389 0.652 0.777
In2 In 0.611 0.348 0.223
```

Output
Space-group type   C2/m (12)

=====

#b
This record from the Alexandria database describes a geometry-optimized Li4Cd5In2 structure. The functional is PBE-GGA.

The structure in CIF format:
```
data_Li4Cd5In2
_space_group_name_H-M_alt 'P 1'
_space_group_IT_number 1
_cell_length_a 3.186
_cell_length_b 7.602
_cell_length_c 9.617
_cell_angle_alpha 96.78
_cell_angle_beta 90.00
_cell_angle_gamma 90.00
loop_
_space_group_symop_operation_xyz
'x,y,z'
loop_
_atom_site_label
_atom_site_type_symbol
_atom_site_fract_x
_atom_site_fract_y
_atom_site_fract_z
Cd1 Cd 0.000 0.170 0.142
Cd2 Cd 0.000 0.468 0.679
Cd3 Cd 0.000 0.500 0.000
Cd4 Cd 0.000 0.830 0.858
Cd5 Cd 0.000 0.532 0.321
Li1 Li 0.500 0.182 0.888
Li2 Li 0.500 0.261 0.432
Li3 Li 0.500 0.818 0.112
Li4 Li 0.500 0.739 0.568
In1 In 0.000 0.920 0.357
In2 In 0.000 0.080 0.643
```

Output
Space-group type   P2/m (10)

=====

Least stable of them? #b.

=====

#a
This record from the Alexandria database describes a geometry-optimized Li3Cd7In2 structure. The functional is PBE-GGA.

The structure in CIF format:
```
data_Li3Cd7In2
_space_group_name_H-M_alt 'P 1'
_space_group_IT_number 1
_cell_length_a 3.167
_cell_length_b 4.798
_cell_length_c 17.675
_cell_angle_alpha 96.06
_cell_angle_beta 90.00
_cell_angle_gamma 90.00
loop_
_space_group_symop_operation_xyz
'x,y,z'
loop_
_atom_site_label
_atom_site_type_symbol
_atom_site_fract_x
_atom_site_fract_y
_atom_site_fract_z
In1 In 0.500 0.318 0.704
In2 In 0.500 0.682 0.296
Li1 Li 0.000 0.209 0.379
Li2 Li 0.000 0.791 0.621
Li3 Li 0.500 0.500 0.000
Cd1 Cd 0.500 0.266 0.541
Cd2 Cd 0.000 0.386 0.869
Cd3 Cd 0.000 0.614 0.131
Cd4 Cd 0.500 0.860 0.807
Cd5 Cd 0.500 0.734 0.459
Cd6 Cd 0.500 0.140 0.193
Cd7 Cd 0.000 0.000 0.000
```

Output
Space-group type   P2/m (10)

=====

#b
This record from the Alexandria database describes a geometry-optimized Li3Cd7In2 structure. The functional is PBE-GGA.

The structure in CIF format:
```
data_Li3Cd7In2
_space_group_name_H-M_alt 'P 1'
_space_group_IT_number 1
_cell_length_a 4.486
_cell_length_b 4.486
_cell_length_c 12.977
_cell_angle_alpha 98.05
_cell_angle_beta 98.05
_cell_angle_gamma 92.14
loop_
_space_group_symop_operation_xyz
'x,y,z'
loop_
_atom_site_label
_atom_site_type_symbol
_atom_site_fract_x
_atom_site_fract_y
_atom_site_fract_z
Li1 Li 0.164 0.164 0.332
Li2 Li 0.836 0.836 0.668
Li3 Li 0.500 0.500 0.000
In1 In 0.664 0.664 0.332
In2 In 0.336 0.336 0.668
Cd1 Cd 0.755 0.245 0.500
Cd2 Cd 0.576 0.084 0.164
Cd3 Cd 0.916 0.424 0.836
Cd4 Cd 0.424 0.916 0.836
Cd5 Cd 0.000 0.000 0.000
Cd6 Cd 0.245 0.755 0.500
Cd7 Cd 0.084 0.576 0.164
```

Output
Space-group type   C2/m (12)

=====

Least stable of them? #a.

=====

#a
This record from the Alexandria database describes a geometry-optimized LiCd3In structure. The functional is PBE-GGA.

The structure in CIF format:
```
data_LiCd3In
_space_group_name_H-M_alt 'P 1'
_space_group_IT_number 1
_cell_length_a 4.408
_cell_length_b 6.441
_cell_length_c 15.473
_cell_angle_alpha 90.00
_cell_angle_beta 90.00
_cell_angle_gamma 90.00
loop_
_space_group_symop_operation_xyz
'x,y,z'
loop_
_atom_site_label
_atom_site_type_symbol
_atom_site_fract_x
_atom_site_fract_y
_atom_site_fract_z
Cd1 Cd 0.750 0.355 0.047
Cd2 Cd 0.250 0.124 0.750
Cd3 Cd 0.750 0.855 0.453
Cd4 Cd 0.250 0.645 0.953
Cd5 Cd 0.750 0.386 0.640
Cd6 Cd 0.250 0.145 0.547
Cd7 Cd 0.750 0.376 0.250
Cd8 Cd 0.750 0.886 0.860
Cd9 Cd 0.250 0.624 0.750
Cd10 Cd 0.750 0.876 0.250
Cd11 Cd 0.250 0.614 0.360
Cd12 Cd 0.250 0.114 0.140
In1 In 0.250 0.626 0.147
In2 In 0.750 0.874 0.647
In3 In 0.750 0.374 0.853
In4 In 0.250 0.126 0.353
Li1 Li 0.750 0.370 0.448
Li2 Li 0.750 0.870 0.052
Li3 Li 0.250 0.630 0.552
Li4 Li 0.250 0.130 0.948
```

Output
Space-group type   Pnma (62)

=====

#b
This record from the Alexandria database describes a geometry-optimized LiCd3In structure. The functional is PBE-GGA.

The structure in CIF format:
```
data_LiCd3In
_space_group_name_H-M_alt 'P 1'
_space_group_IT_number 1
_cell_length_a 7.570
_cell_length_b 7.570
_cell_length_c 8.370
_cell_angle_alpha 99.24
_cell_angle_beta 99.24
_cell_angle_gamma 103.93
loop_
_space_group_symop_operation_xyz
'x,y,z'
loop_
_atom_site_label
_atom_site_type_symbol
_atom_site_fract_x
_atom_site_fract_y
_atom_site_fract_z
Cd1 Cd 0.932 0.513 0.318
Cd2 Cd 0.068 0.487 0.682
Cd3 Cd 0.166 0.966 0.603
Cd4 Cd 0.289 0.239 0.929
Cd5 Cd 0.966 0.166 0.103
Cd6 Cd 0.834 0.034 0.397
Cd7 Cd 0.761 0.711 0.571
Cd8 Cd 0.487 0.068 0.182
Cd9 Cd 0.711 0.761 0.071
Cd10 Cd 0.034 0.834 0.897
Cd11 Cd 0.239 0.289 0.429
Cd12 Cd 0.513 0.932 0.818
Li1 Li 0.532 0.468 0.250
Li2 Li 0.112 0.888 0.250
Li3 Li 0.468 0.532 0.750
Li4 Li 0.888 0.112 0.750
In1 In 0.632 0.279 0.553
In2 In 0.721 0.368 0.947
In3 In 0.368 0.721 0.447
In4 In 0.279 0.632 0.053
```

Output
Space-group type   C2/c (15)

=====

#c
This record from the Alexandria database describes a geometry-optimized LiCd3In structure. The functional is PBE-GGA.

The structure in CIF format:
```
data_LiCd3In
_space_group_name_H-M_alt 'P 1'
_space_group_IT_number 1
_cell_length_a 5.012
_cell_length_b 5.012
_cell_length_c 5.012
_cell_angle_alpha 90.00
_cell_angle_beta 90.00
_cell_angle_gamma 90.00
loop_
_space_group_symop_operation_xyz
'x,y,z'
loop_
_atom_site_label
_atom_site_type_symbol
_atom_site_fract_x
_atom_site_fract_y
_atom_site_fract_z
Li1 Li 0.000 0.000 0.000
Cd1 Cd 0.500 0.000 0.000
Cd2 Cd 0.000 0.000 0.500
Cd3 Cd 0.000 0.500 0.000
In1 In 0.500 0.500 0.500
```

Output
Space-group type   Pm-3m (221)

=====

Least stable of them? #c.